Entry 1:
This record from Alexandria via LeMat-Bulk describes KSb2TeBr after structural relaxation. The functional is PBE-GGA.

abc: 5.6324 5.6324 6.0386
angles: 90.00 90.00 90.00
Space group P4/mmm (No. 123)
Symmetry-distinct sites (fractional):
K1 0.0000 0.0000 0.0000 [1 per cell]
Sb1 0.0000 0.5000 0.5000 [2 per cell]
Te1 0.5000 0.5000 0.0000 [1 per cell]
Br1 0.5000 0.5000 0.5000 [1 per cell]

The magnetic moment comes out at 0.75 μB per formula unit. The calculation puts the energy above the most stable polymorph in this dataset at 0.000 eV/atom. The value obtained for the uncorrected energy is -2.462 eV/atom. The raw formation energy comes out at 0.369 eV per atom.

Entry 2:
This record from Alexandria via LeMat-Bulk describes La2Pm4Nd5 after structural relaxation. The functional is PBE-GGA.

abc: 3.5806 9.4229 23.8127
angles: 90.00 90.00 90.00
Space group Immm (No. 71)
Symmetry-distinct sites (fractional):
La1 0.0000 0.0000 0.2317 [4 per cell]
Pm1 0.0000 0.0000 0.0972 [4 per cell]
Pm2 0.0000 0.3053 0.5000 [4 per cell]
Nd1 0.0000 0.1935 0.3570 [8 per cell]
Nd2 0.0000 0.5000 0.0000 [2 per cell]

The magnetic moment comes out at 0.00 μB per formula unit. The calculation puts the energy above the most stable polymorph in this dataset at 0.062 eV/atom. The formation energy comes out at 186 meV/atom. The value obtained for the uncorrected energy is -4.605 eV/atom.

Entry 3:
This record from Alexandria via LeMat-Bulk describes Y2LuBi after structural relaxation. The functional is PBE-GGA.

abc: 4.9247 4.9247 4.7602
angles: 90.00 90.00 90.00
Space group P4/mmm (No. 123)
Symmetry-distinct sites (fractional):
Y1 0.0000 0.5000 0.0000 [2 per cell]
Lu1 0.0000 0.0000 0.5000 [1 per cell]
Bi1 0.5000 0.5000 0.5000 [1 per cell]

The magnetic moment comes out at 1.18 μB per formula unit. The calculation puts the energy above the most stable polymorph in this dataset at 0.069 eV/atom. The formation energy comes out at -306 meV/atom. The value obtained for the uncorrected energy is -5.639 eV/atom.

Entry 4:
This record from Alexandria via LeMat-Bulk describes LaSm6YHo2 after structural relaxation. The functional is PBE-GGA.

abc: 9.2012 15.2823 9.7442
angles: 90.00 97.97 90.00
Space group C2/c (No. 15)
Symmetry-distinct sites (fractional):
La1 0.0000 0.0944 0.2500 [4 per cell]
Sm1 0.0639 0.3207 0.4452 [8 per cell]
Sm2 0.1009 0.1062 0.6217 [8 per cell]
Sm3 0.2033 0.2724 0.8190 [8 per cell]
Y1 0.0000 0.4724 0.7500 [4 per cell]
Ho1 0.2445 0.4493 0.0444 [8 per cell]

The magnetic moment comes out at 0.00 μB per formula unit. The formation energy comes out at 118 meV/atom. The value obtained for the uncorrected energy is -4.768 eV/atom.

Entry 5:
This record from Alexandria via LeMat-Bulk describes K2BeVSe4 after structural relaxation. The functional is PBE-GGA.

abc: 5.6390 13.5639 23.9370
angles: 90.00 90.00 90.00
Space group Fddd (No. 70, origin choice 2)
Symmetry-distinct sites (fractional):
K1 0.1250 0.1250 0.3055 [16 per cell]
Be1 0.1250 0.1250 0.1250 [8 per cell]
V1 0.1250 0.1250 0.6250 [8 per cell]
Se1 0.1128 0.2797 0.4286 [32 per cell]

The magnetic moment comes out at 1.00 μB per formula unit. The value obtained for the uncorrected energy is -4.569 eV/atom. The raw formation energy comes out at -0.947 eV per atom.

Entry 6:
This record from Alexandria via LeMat-Bulk describes LiSeS2N after structural relaxation. The functional is PBE-GGA.

abc: 4.5769 4.5769 3.5334
angles: 90.00 90.00 90.00
Space group P4/mmm (No. 123)
Symmetry-distinct sites (fractional):
Li1 0.0000 0.0000 0.0000 [1 per cell]
Se1 0.5000 0.5000 0.5000 [1 per cell]
S1 0.0000 0.5000 0.0000 [2 per cell]
N1 0.0000 0.0000 0.5000 [1 per cell]

The magnetic moment comes out at 0.00 μB per formula unit. The calculation puts the energy above the most stable polymorph in this dataset at 0.479 eV/atom. The value obtained for the uncorrected energy is -3.195 eV/atom. The raw formation energy comes out at 1.201 eV per atom.

Entry 7:
This record from Alexandria via LeMat-Bulk describes Tb2PaAu after structural relaxation. The functional is PBE-GGA.

abc: 3.2824 3.2824 33.8924
angles: 90.00 90.00 120.00
Space group R-3m (No. 166, hexagonal axes)
Symmetry-distinct sites (fractional):
Tb1 0.0000 0.0000 0.0956 [6 per cell]
Pa1 0.0000 0.0000 0.0000 [3 per cell]
Au1 0.0000 0.0000 0.5000 [3 per cell]

The magnetic moment comes out at 0.00 μB per formula unit. The calculation puts the energy above the most stable polymorph in this dataset at 0.361 eV/atom. The formation energy comes out at 76 meV/atom. The value obtained for the uncorrected energy is -5.432 eV/atom.

Entry 8:
This record from Alexandria via LeMat-Bulk describes ZrMn2HN after structural relaxation. The functional is PBE-GGA.

abc: 3.2852 3.2852 5.2287
angles: 90.00 90.00 90.00
Space group P4/mmm (No. 123)
Symmetry-distinct sites (fractional):
Zr1 0.0000 0.0000 0.0000 [1 per cell]
Mn1 0.0000 0.5000 0.5000 [2 per cell]
H1 0.5000 0.5000 0.5000 [1 per cell]
N1 0.5000 0.5000 0.0000 [1 per cell]

The magnetic moment comes out at 3.19 μB per formula unit. The value obtained for the uncorrected energy is -7.606 eV/atom.

Entry 9:
This record from Alexandria via LeMat-Bulk describes CdNiW2 after structural relaxation. The functional is PBE-GGA.

abc: 3.2140 3.2140 6.2233
angles: 90.00 90.00 90.00
Space group P4mm (No. 99)
Symmetry-distinct sites (fractional):
Cd1 0.0000 0.0000 0.0000 [1 per cell]
Ni1 0.5000 0.5000 0.2431 [1 per cell]
W1 0.0000 0.0000 0.4758 [1 per cell]
W2 0.5000 0.5000 0.6953 [1 per cell]

The magnetic moment comes out at 0.00 μB per formula unit. The formation energy comes out at 372 meV/atom. The value obtained for the uncorrected energy is -7.779 eV/atom.

Entry 10:
This record from Alexandria via LeMat-Bulk describes NaPtPbS2 after structural relaxation. The functional is PBE-GGA.

abc: 4.8780 4.8780 5.3875
angles: 90.00 90.00 90.00
Space group P4/mmm (No. 123)
Symmetry-distinct sites (fractional):
Na1 0.0000 0.0000 0.0000 [1 per cell]
Pt1 0.5000 0.5000 0.5000 [1 per cell]
Pb1 0.5000 0.5000 0.0000 [1 per cell]
S1 0.0000 0.5000 0.5000 [2 per cell]

The magnetic moment comes out at 0.00 μB per formula unit. The value obtained for the uncorrected energy is -3.804 eV/atom. The raw formation energy comes out at 0.060 eV per atom.

Entry 11:
This record from Alexandria via LeMat-Bulk describes CrAs2Ir after structural relaxation. The functional is PBE-GGA.

abc: 8.4743 3.3445 4.5672
angles: 90.00 104.93 90.00
Space group Cm (No. 8)
Symmetry-distinct sites (fractional):
Cr1 0.0000 0.0000 0.0000 [2 per cell]
As1 0.2252 0.5000 0.0566 [2 per cell]
As2 0.4836 0.0000 0.4572 [2 per cell]
Ir1 0.2153 0.0000 0.6180 [2 per cell]

The magnetic moment comes out at 2.24 μB per formula unit. The calculation puts the energy above the most stable polymorph in this dataset at 0.032 eV/atom. The formation energy comes out at -9 meV/atom. The value obtained for the uncorrected energy is -6.955 eV/atom.

Entry 12:
This record from Alexandria via LeMat-Bulk describes Ti2SnP after structural relaxation. The functional is PBE-GGA.

abc: 7.0891 7.0891 5.8605
angles: 90.00 90.00 90.00
Space group I-42d (No. 122)
Symmetry-distinct sites (fractional):
Ti1 0.2073 0.7500 0.1250 [8 per cell]
Sn1 0.0000 0.0000 0.5000 [4 per cell]
P1 0.0000 0.0000 0.0000 [4 per cell]

The magnetic moment comes out at 0.00 μB per formula unit. The calculation puts the energy above the most stable polymorph in this dataset at 0.391 eV/atom. The formation energy comes out at -366 meV/atom. The value obtained for the uncorrected energy is -6.666 eV/atom.

- What is the formula in the twelfth record?
  Ti2SnP